The following is a DFT calculation (PBE) of a relaxed structure of PrSmY2As4.

The space group is P2/m (No. 10) and the conventional cell measures 7.259, 4.197 and 7.265 Å, with angles of 90.00, 109.48 and 90.00 degrees. The distinct sites, in fractional coordinates, are Pr at (0.000, 0.000, 0.000), Sm at (0.000, 0.500, 0.500), Y at (0.500, 0.000, 0.500), Y at (0.500, 0.500, 0.000), As at (0.257, 0.000, 0.750) and As at (0.259, 0.500, 0.255).

The density of states at the Fermi level is 0.109 states/eV/atom. The energy of formation comes out at -1530.2 meV/atom.

---

The following is a DFT calculation (PBE) of a relaxed structure of TiCdP2O.

The space group is P4/mmm (No. 123) and the conventional cell measures 4.900, 4.900 and 3.990 Å, with angles of 90.00, 90.00 and 90.00 degrees. The distinct sites, in fractional coordinates, are Ti at (0.000, 0.000, 0.000), Cd at (0.500, 0.500, 0.500), P at (0.000, 0.500, 0.500) and O at (0.500, 0.500, 0.000).

The density of states at the Fermi level is 0.922 states/eV/atom. The calculated total energy comes out at -4.189 eV/atom.

---

The following is a DFT calculation (PBE) of a relaxed structure of Cs4H5Au2.

The space group is P2/m (No. 10) and the conventional cell measures 8.584, 4.283 and 9.257 Å, with angles of 90.00, 107.93 and 90.00 degrees. The distinct sites, in fractional coordinates, are Cs at (0.230, 0.000, 0.394), Cs at (0.244, 0.000, 0.952), H at (0.000, 0.500, 0.000), H at (0.227, 0.500, 0.660), H at (0.365, 0.500, 0.220) and Au at (0.432, 0.500, 0.719).

The density of states at the Fermi level is 0.268 states/eV/atom. The calculated total energy comes out at -2.638 eV/atom.

---

The following is a DFT calculation (PBE) of a relaxed structure of CaLaCdSb.

The space group is F-43m (No. 216) and the conventional cell measures 7.765, 7.765 and 7.765 Å, with angles of 90.00, 90.00 and 90.00 degrees. The distinct sites, in fractional coordinates, are Ca at (0.000, 0.000, 0.000), La at (0.000, 0.000, 0.500), Cd at (0.250, 0.250, 0.250) and Sb at (0.250, 0.250, 0.750).

The density of states at the Fermi level is 0.816 states/eV/atom. The calculated total energy comes out at -3.618 eV/atom.

---

The following is a DFT calculation (PBE) of a relaxed structure of GeHSe2I.

The space group is P4/mmm (No. 123) and the conventional cell measures 4.123, 4.123 and 6.662 Å, with angles of 90.00, 90.00 and 90.00 degrees. The distinct sites, in fractional coordinates, are Ge at (0.000, 0.000, 0.000), H at (0.000, 0.000, 0.500), Se at (0.000, 0.500, 0.500) and I at (0.500, 0.500, 0.000).

The density of states at the Fermi level is 0.468 states/eV/atom. The calculated total energy comes out at -2.809 eV/atom.

---

The following is a DFT calculation (PBE) of a relaxed structure of Ho4AlTlZn2.

The space group is R-3m (No. 166, hexagonal axes) and the conventional cell measures 5.1170, 5.1170 and 25.2170 Å, with angles of 90.00, 90.00 and 120.00 degrees. The distinct sites, in fractional coordinates, are Ho at (0.0000, 0.0000, 0.1215), Ho at (0.0000, 0.0000, 0.3720), Al at (0.0000, 0.0000, 0.0000), Tl at (0.0000, 0.0000, 0.5000) and Zn at (0.0000, 0.0000, 0.2521).

The density of states at the Fermi level is 0.766 states/eV/atom. The energy of formation comes out at -352.4 meV/atom.

---

The following is a DFT calculation (PBE) of a relaxed structure of HgTeI.

The space group is P-1 (No. 2) and the conventional cell measures 4.666, 6.001 and 9.348 Å, with angles of 101.86, 94.21 and 95.30 degrees. The distinct sites, in fractional coordinates, are Hg at (0.242, 0.394, 0.337), Te at (0.369, 0.180, 0.578) and I at (0.249, 0.717, 0.864).

The calculated total energy comes out at -1.809 eV/atom.

---

The following is a DFT calculation (PBE) of a relaxed structure of Li3Hg5.

The space group is Cmcm (No. 63) and the conventional cell measures 9.485, 7.337 and 9.535 Å, with angles of 90.00, 90.00 and 90.00 degrees. The distinct sites, in fractional coordinates, are Li at (0.000, 0.038, 0.250), Li at (0.224, 0.500, 0.000), Hg at (0.000, 0.211, 0.515), Hg at (0.000, 0.458, 0.250) and Hg at (0.230, 0.248, 0.750).

The density of states at the Fermi level is 0.376 states/eV/atom. The energy of formation comes out at -255.9 meV/atom.

---

Repeat the second record exactly.
The following is a DFT calculation (PBE) of a relaxed structure of TiCdP2O.

The space group is P4/mmm (No. 123) and the conventional cell measures 4.900, 4.900 and 3.990 Å, with angles of 90.00, 90.00 and 90.00 degrees. The distinct sites, in fractional coordinates, are Ti at (0.000, 0.000, 0.000), Cd at (0.500, 0.500, 0.500), P at (0.000, 0.500, 0.500) and O at (0.500, 0.500, 0.000).

The density of states at the Fermi level is 0.922 states/eV/atom. The calculated total energy comes out at -4.189 eV/atom.